# 1
! CdGaSbTe2 GGA-PBE relaxed; values from VASP
&SYSTEM
  ibrav = 0, nat = 5, ntyp = 4
/
ATOMIC_SPECIES
Te 127.60 Te.upf
Sb 121.76 Sb.upf
Cd 112.41 Cd.upf
Ga 69.72 Ga.upf
CELL_PARAMETERS angstrom
-3.502 -3.471 2.370
4.105 -2.165 2.896
-0.871 3.514 3.860
ATOMIC_POSITIONS crystal
Te 0.000 0.500 0.000
Sb 0.000 0.000 0.500
Cd 0.500 0.500 0.500
Ga 0.000 0.000 0.000
Te 0.500 0.000 0.000
! Space group: P4/mmm, No. 123
! Size of the total moment: 0.00 μB/cell
! Density of states at the Fermi level: 5.54 states/eV/cell
! Formation energy (no corrections): 0.409 eV/atom
! Crystal system: tetragonal

=====

# 2
! Y2ZnInN GGA-PBE relaxed; values from VASP
&SYSTEM
  ibrav = 0, nat = 5, ntyp = 4
/
ATOMIC_SPECIES
In 114.82 In.upf
N 14.01 N.upf
Y 88.91 Y.upf
Zn 65.41 Zn.upf
CELL_PARAMETERS angstrom
4.831 0.000 0.000
0.000 4.831 0.000
0.000 0.000 4.321
ATOMIC_POSITIONS crystal
In 0.500 0.500 0.500
N 0.000 0.000 0.000
Y 0.500 0.000 0.000
Y 0.000 0.500 0.000
Zn 0.000 0.000 0.500
! Space group: P4/mmm, No. 123
! Size of the total moment: 0.00 μB/cell
! Density of states at the Fermi level: 2.01 states/eV/cell
! Formation energy (no corrections): -0.673 eV/atom
! Crystal system: tetragonal

=====

# 3
! Pm4Dy2HoTm2 GGA-PBE relaxed; values from VASP
&SYSTEM
  ibrav = 0, nat = 9, ntyp = 4
/
ATOMIC_SPECIES
Dy 162.50 Dy.upf
Pm 145.00 Pm.upf
Tm 168.93 Tm.upf
Ho 164.93 Ho.upf
CELL_PARAMETERS angstrom
5.053 0.000 0.000
-2.526 7.596 0.026
0.000 -2.553 7.571
ATOMIC_POSITIONS crystal
Dy 0.111 0.223 0.670
Dy 0.889 0.777 0.330
Pm 0.223 0.445 0.331
Tm 0.333 0.666 0.000
Tm 0.667 0.334 0.000
Pm 0.554 0.109 0.331
Pm 0.446 0.891 0.669
Ho 0.000 0.000 0.000
Pm 0.777 0.555 0.669
! Space group: C2/m, No. 12
! ΔE_f: 0.021 eV/atom
! Size of the total moment: 0.00 μB/cell
! Density of states at the Fermi level: 13.25 states/eV/cell
! Crystal system: monoclinic

=====

# 4
! BaLiY GGA-PBE relaxed; values from VASP
&SYSTEM
  ibrav = 0, nat = 3, ntyp = 3
/
ATOMIC_SPECIES
Y 88.91 Y.upf
Ba 137.33 Ba.upf
Li 6.94 Li.upf
CELL_PARAMETERS angstrom
5.583 0.000 0.000
2.792 4.835 0.000
2.792 1.612 4.559
ATOMIC_POSITIONS crystal
Y 0.000 0.000 0.000
Ba 0.500 0.500 0.500
Li 0.750 0.750 0.750
! Space group: F-43m, No. 216
! ΔE_f: 0.518 eV/atom
! Size of the total moment: 0.66 μB/cell
! Density of states at the Fermi level: 6.06 states/eV/cell
! Crystal system: cubic

=====

# 5
! BaIn2CuRh GGA-PBE relaxed; values from VASP
&SYSTEM
  ibrav = 0, nat = 5, ntyp = 4
/
ATOMIC_SPECIES
In 114.82 In.upf
Ba 137.33 Ba.upf
Cu 63.55 Cu.upf
Rh 102.91 Rh.upf
CELL_PARAMETERS angstrom
-0.480 -4.139 -2.969
-1.964 -2.601 3.944
-4.749 1.525 -1.358
ATOMIC_POSITIONS crystal
In 0.500 0.000 0.000
Ba 0.500 0.500 0.500
Cu 0.000 0.000 0.500
Rh 0.000 0.000 0.000
In 0.000 0.500 0.000
! Space group: P4/mmm, No. 123
! ΔE_f: -0.198 eV/atom
! Size of the total moment: 0.00 μB/cell
! Density of states at the Fermi level: 2.00 states/eV/cell
! Crystal system: tetragonal

=====

# 6
! MoPtCl2 GGA-PBE relaxed; values from VASP
&SYSTEM
  ibrav = 0, nat = 4, ntyp = 3
/
ATOMIC_SPECIES
Cl 35.45 Cl.upf
Mo 95.94 Mo.upf
Pt 195.08 Pt.upf
CELL_PARAMETERS angstrom
4.836 0.000 0.000
1.360 4.641 0.000
-3.098 -2.321 2.899
ATOMIC_POSITIONS crystal
Cl 0.500 0.500 0.000
Mo 0.250 0.750 0.500
Cl 0.000 0.000 0.000
Pt 0.750 0.250 0.500
! Space group: I4/mmm, No. 139
! Size of the total moment: 0.00 μB/cell
! Density of states at the Fermi level: 2.29 states/eV/cell
! Formation energy (no corrections): 0.729 eV/atom
! Crystal system: tetragonal

=====

| no. | calculated total energy (eV per atom) |
| --- | --- |
| 1 | -2.46 |
| 2 | -5.73 |
| 3 | -4.62 |
| 4 | -2.92 |
| 5 | -3.97 |
| 6 | -4.41 |